Ca3MnCo after structural relaxation. Source: the Alexandria database, functional PBE.

Structure (CIF):
```
data_Ca3MnCo
_chemical_formula_sum 'Ca3 Mn1 Co1'
_space_group_name_H-M_alt 'P 1'
_space_group_IT_number 1
_cell_length_a 5.240
_cell_length_b 5.240
_cell_length_c 5.240
_cell_angle_alpha 90.00
_cell_angle_beta 90.00
_cell_angle_gamma 90.00
loop_
_space_group_symop_operation_xyz
'x,y,z'
loop_
_atom_site_label
_atom_site_type_symbol
_atom_site_fract_x
_atom_site_fract_y
_atom_site_fract_z
Ca1 Ca 0.000 0.000 0.500
Ca2 Ca 0.000 0.500 0.000
Ca3 Ca 0.500 0.000 0.000
Mn1 Mn 0.500 0.500 0.500
Co1 Co 0.000 0.000 0.000
```

Results
The calculation puts the formation enthalpy at 0 K at 481 kJ/mol of formula units. Its energy relative to the lowest polymorph listed for this composition is 25 meV per atom.

CaMn2Co after structural relaxation. Source: the Alexandria database, functional PBE.

Structure (CIF):
```
data_CaMn2Co
_chemical_formula_sum 'Ca1 Mn2 Co1'
_space_group_name_H-M_alt 'P 1'
_space_group_IT_number 1
_cell_length_a 3.066
_cell_length_b 3.066
_cell_length_c 6.999
_cell_angle_alpha 90.00
_cell_angle_beta 90.00
_cell_angle_gamma 90.00
loop_
_space_group_symop_operation_xyz
'x,y,z'
loop_
_atom_site_label
_atom_site_type_symbol
_atom_site_fract_x
_atom_site_fract_y
_atom_site_fract_z
Ca1 Ca 0.000 0.000 0.000
Mn1 Mn 0.000 0.000 0.448
Mn2 Mn 0.500 0.500 0.660
Co1 Co 0.500 0.500 0.292
```

Results
The calculation puts the formation enthalpy at 0 K at 154 kJ/mol of formula units. Its energy relative to the lowest polymorph listed for this composition is 146 meV per atom.

CaMn2Co after structural relaxation. Source: the Alexandria database, functional PBE.

Structure (CIF):
```
data_CaMn2Co
_chemical_formula_sum 'Ca1 Mn2 Co1'
_space_group_name_H-M_alt 'P 1'
_space_group_IT_number 1
_cell_length_a 9.098
_cell_length_b 9.098
_cell_length_c 9.098
_cell_angle_alpha 19.15
_cell_angle_beta 19.15
_cell_angle_gamma 19.15
loop_
_space_group_symop_operation_xyz
'x,y,z'
loop_
_atom_site_label
_atom_site_type_symbol
_atom_site_fract_x
_atom_site_fract_y
_atom_site_fract_z
Ca1 Ca 0.000 0.000 0.000
Mn1 Mn 0.234 0.234 0.234
Mn2 Mn 0.766 0.766 0.766
Co1 Co 0.500 0.500 0.500
```

Results
The calculation puts the formation enthalpy at 0 K at 256 kJ/mol of formula units. Its energy relative to the lowest polymorph listed for this composition is 412 meV per atom.

CaMn2Co after structural relaxation. Source: the Alexandria database, functional PBE.

Structure (CIF):
```
data_CaMn2Co
_chemical_formula_sum 'Ca1 Mn2 Co1'
_space_group_name_H-M_alt 'P 1'
_space_group_IT_number 1
_cell_length_a 5.673
_cell_length_b 5.673
_cell_length_c 5.673
_cell_angle_alpha 42.62
_cell_angle_beta 42.62
_cell_angle_gamma 42.62
loop_
_space_group_symop_operation_xyz
'x,y,z'
loop_
_atom_site_label
_atom_site_type_symbol
_atom_site_fract_x
_atom_site_fract_y
_atom_site_fract_z
Ca1 Ca 0.000 0.000 0.000
Mn1 Mn 0.203 0.203 0.203
Mn2 Mn 0.797 0.797 0.797
Co1 Co 0.500 0.500 0.500
```

Results
The calculation puts the formation enthalpy at 0 K at 123 kJ/mol of formula units. Its energy relative to the lowest polymorph listed for this composition is 67 meV per atom.

CaMn4Co after structural relaxation. Source: the Alexandria database, functional PBE.

Structure (CIF):
```
data_CaMn4Co
_chemical_formula_sum 'Ca1 Mn4 Co1'
_space_group_name_H-M_alt 'P 1'
_space_group_IT_number 1
_cell_length_a 4.890
_cell_length_b 4.890
_cell_length_c 4.890
_cell_angle_alpha 60.00
_cell_angle_beta 60.00
_cell_angle_gamma 60.00
loop_
_space_group_symop_operation_xyz
'x,y,z'
loop_
_atom_site_label
_atom_site_type_symbol
_atom_site_fract_x
_atom_site_fract_y
_atom_site_fract_z
Ca1 Ca 0.000 0.000 0.000
Mn1 Mn 0.375 0.375 0.375
Mn2 Mn 0.375 0.375 0.875
Mn3 Mn 0.375 0.875 0.375
Mn4 Mn 0.875 0.375 0.375
Co1 Co 0.750 0.750 0.750
```

Results
The calculation puts the formation enthalpy at 0 K at 302 kJ/mol of formula units.

CaMn2Co after structural relaxation. Source: the Alexandria database, functional PBE.

Structure (CIF):
```
data_CaMn2Co
_chemical_formula_sum 'Ca1 Mn2 Co1'
_space_group_name_H-M_alt 'P 1'
_space_group_IT_number 1
_cell_length_a 3.063
_cell_length_b 3.063
_cell_length_c 7.417
_cell_angle_alpha 90.00
_cell_angle_beta 90.00
_cell_angle_gamma 90.00
loop_
_space_group_symop_operation_xyz
'x,y,z'
loop_
_atom_site_label
_atom_site_type_symbol
_atom_site_fract_x
_atom_site_fract_y
_atom_site_fract_z
Ca1 Ca 0.000 0.000 0.000
Mn1 Mn 0.500 0.500 0.320
Mn2 Mn 0.500 0.500 0.680
Co1 Co 0.000 0.000 0.500
```

Results
The calculation puts the formation enthalpy at 0 K at 134 kJ/mol of formula units. Its energy relative to the lowest polymorph listed for this composition is 96 meV per atom.

Calculated values (Ry/atom) of total energy for the records, taken in order: -0.2543, -0.4750, -0.4555, -0.4809, -0.5226, -0.4787.